(1)
## GaNi7Ge3 (GGA-PBE)

Data for crystalline GaNi7Ge3 at its relaxed geometry.

Cell lengths 4.885, 6.378, 6.378 Å; angles 84.02, 120.22, 120.22 degrees
Element x y z (fractional)
Ge 0.000 0.225 0.775
Ge 0.500 0.000 0.000
Ge 0.000 0.775 0.225
Ni 0.660 0.939 0.411
Ni 0.660 0.411 0.939
Ni 0.340 0.589 0.061
Ni 0.664 0.810 0.810
Ni 0.340 0.061 0.589
Ni 0.000 0.500 0.500
Ni 0.336 0.190 0.190
Ga 0.500 0.500 0.500

(2)
## GaNi8Ge2 (GGA-PBE)

Data for crystalline GaNi8Ge2 at its relaxed geometry.

Properties
* polymorph energy (0 for the lowest one): 13 meV/atom

Cell lengths 3.671, 5.739, 6.734 Å; angles 108.22, 105.82, 90.00 degrees
Element x y z (fractional)
Ga 0.500 0.000 0.000
Ni 0.675 0.922 0.350
Ni 0.847 0.781 0.695
Ni 0.036 0.733 0.072
Ni 0.592 0.462 0.183
Ni 0.964 0.267 0.928
Ni 0.153 0.219 0.305
Ni 0.325 0.078 0.650
Ni 0.408 0.538 0.817
Ge 0.790 0.332 0.580
Ge 0.210 0.668 0.420

Taking the records one at a time from the top gives ΔE_f values of -119 -243 meV/atom.